A plane-wave DFT calculation with PBE was carried out for a relaxed Dy3Hg crystal.

Magnetic moment, μB/f.u.: 0.00
Electronic total energy, eV/atom: -3.658
Formation energy from the elements, eV per atom: -0.13
SG: I4/mmm, No. 139

a = 4.7270 Å, b = 4.7270 Å, c = 5.9675 Å
α = 113.33°, β = 113.33°, γ = 90.00°
Last column: nearest neighbours and their distance in Å.
Element x y z (fractional)
Dy1 0.5000 0.5000 0.0000  4 Hg 3.34, 8 Dy 3.42
Dy2 0.2500 0.7500 0.5000  8 Dy 3.34-3.42, 4 Hg 3.42
Dy3 0.7500 0.2500 0.5000  8 Dy 3.34-3.42, 4 Hg 3.42
Hg1 0.0000 0.0000 0.0000  12 Dy 3.34-3.42